Entry 1:
VASP calculation (GGA-PBE) on a geometry-optimized NdLuAlRu structure.

The structure belongs to space group F-43m (No. 216); the cell edges are 7.057, 7.057 and 7.057 Å and the angles 90.00°, 90.00° and 90.00°. The inequivalent atoms are Nd at (0.000, 0.000, 0.000), Lu at (0.000, 0.000, 0.500), Al at (0.250, 0.250, 0.750) and Ru at (0.250, 0.250, 0.250).

The density of states at the Fermi level is 2.59 states/eV/f.u. Its energy relative to the elements is -0.2852 eV/atom. Its crystal system is cubic. The value obtained for the total energy is -93.79 eV for the cell shown.

***

Entry 2:
VASP calculation (GGA-PBE) on a geometry-optimized NdSmLuAl structure.

The structure belongs to space group F-43m (No. 216); the cell edges are 7.644, 7.644 and 7.644 Å and the angles 90.00°, 90.00° and 90.00°. The inequivalent atoms are Nd at (0.000, 0.000, 0.000), Sm at (0.000, 0.000, 0.500), Lu at (0.250, 0.250, 0.750) and Al at (0.250, 0.250, 0.250).

The density of states at the Fermi level is 6.26 states/eV/f.u. Its energy relative to the elements is -0.0790 eV/atom. Its crystal system is cubic. The value obtained for the total energy is -72.27 eV for the cell shown.

***

Entry 3:
VASP calculation (GGA-PBE) on a geometry-optimized NdLuThAl structure.

The structure belongs to space group F-43m (No. 216); the cell edges are 7.656, 7.656 and 7.656 Å and the angles 90.00°, 90.00° and 90.00°. The inequivalent atoms are Nd at (0.000, 0.000, 0.000), Lu at (0.250, 0.250, 0.750), Th at (0.000, 0.000, 0.500) and Al at (0.250, 0.250, 0.250).

The density of states at the Fermi level is 4.44 states/eV/f.u. Its energy relative to the elements is -0.0242 eV/atom. Its crystal system is cubic. The value obtained for the total energy is -82.19 eV for the cell shown.